The following is a PBE calculation of a relaxed structure of AcPm12Y7, from Alexandria via LeMat-Bulk.

Computed properties:
* total magnetic moment: 0.00 μB per atom
* theoretical density: 6.20 g cm⁻³
* energy relative to the elements: 0.2060 eV/atom
* VASP energy: -306.73 eV for the cell shown

Unit cell a=12.4006 b=12.4006 c=15.6261 alpha=90.00 beta=90.00 gamma=120.00
Space group R-3 (No. 148, hexagonal axes)
Unique sites:
Ac  0.0000  0.0000  0.0000
Pm  0.0099  0.4367  0.7115
Pm  0.0541  0.5918  0.0875
Y  0.0000  0.0000  0.5000
Y  0.0461  0.1869  0.7989


The following is a PBE calculation of a relaxed structure of La2YS3, from Alexandria via LeMat-Bulk.

Computed properties:
* energy relative to the elements, uncorrected: -2.089 eV per atom
* total magnetic moment: 0.00 μB per atom
* theoretical density: 5.32 g cm⁻³
* VASP energy: -82.47 eV for the cell shown

Unit cell a=4.0877 b=4.0877 c=17.2806 alpha=90.00 beta=90.00 gamma=90.00
Space group I4/mmm (No. 139)
Unique sites:
La  0.0000  0.0000  0.1684
Y  0.0000  0.0000  0.5000
S  0.0000  0.0000  0.0000
S  0.0000  0.0000  0.3396


Q: Among the records above, which one has the lowest theoretical density?
A: La2YS3


Q: Which of these has the highest VASP energy?
A: La2YS3


Q: Among the records above, which one has the highest theoretical density?
A: AcPm12Y7


Please write out number 2 again, unchanged.
The following is a PBE calculation of a relaxed structure of La2YS3, from Alexandria via LeMat-Bulk.

Computed properties:
* energy relative to the elements, uncorrected: -2.089 eV per atom
* total magnetic moment: 0.00 μB per atom
* theoretical density: 5.32 g cm⁻³
* VASP energy: -82.47 eV for the cell shown

Unit cell a=4.0877 b=4.0877 c=17.2806 alpha=90.00 beta=90.00 gamma=90.00
Space group I4/mmm (No. 139)
Unique sites:
La  0.0000  0.0000  0.1684
Y  0.0000  0.0000  0.5000
S  0.0000  0.0000  0.0000
S  0.0000  0.0000  0.3396